ScCr2Si | PBEsol | relaxed

Calculated values
Total magnetic moment ... 0.001 μB/f.u.
Crystal system ... orthorhombic
Space group ... Cmmm (65)
E_form (uncorrected) ... 158.0 meV/atom

Cell and atoms, written as CIF:
```
data_ScCr2Si
_symmetry_space_group_name_H-M 'P 1'
_symmetry_Int_Tables_number 1
_symmetry_space_group_name_Hall 'P 1'
_cell_length_a 2.655
_cell_length_b 2.655
_cell_length_c 7.937
_cell_angle_alpha 90.00
_cell_angle_beta 90.00
_cell_angle_gamma 104.37
loop_
_atom_site_label
_atom_site_fract_x
_atom_site_fract_y
_atom_site_fract_z
_atom_site_occupancy
Cr1 0.000 0.000 0.217 1
Si1 0.500 0.500 0.000 1
Sc1 0.500 0.500 0.500 1
Cr2 0.000 0.000 0.783 1
```